1.
## Pa2HRu (PBE-GGA)

Data for Pa2HRu after structural relaxation.

## Properties
Electronic total energy in Ry per atom: -0.5921
Crystal system: tetragonal
Density of states at the Fermi level in states/eV/f.u.: 5.32
SG: P4/mmm (123)

```
Pa2HRu
1.0
3.1644 0.0000 0.0000
0.0000 3.1644 0.0000
0.0000 0.0000 6.6318
Pa H Ru
2 1 1
Direct
0.0000 0.0000 0.2113
0.0000 0.0000 0.7887
0.5000 0.5000 0.0000
0.5000 0.5000 0.5000
```



2.
## PaH9Ru2 (PBE-GGA)

Data for PaH9Ru2 after structural relaxation.

## Properties
Electronic total energy in Ry per atom: -0.3468
Crystal system: tetragonal
Density of states at the Fermi level in states/eV/f.u.: 3.81
SG: I4_1/amd (141)

```
PaH9Ru2
1.0
-4.1605 4.1605 2.4475
4.1605 -4.1605 2.4475
4.1605 4.1605 -2.4475
Pa H Ru
2 18 4
Direct
0.3750 0.6250 0.7500
0.6250 0.3750 0.2500
0.1250 0.8750 0.2500
0.1853 0.2876 0.3726
0.1853 0.8128 0.8977
0.1872 0.5850 0.3726
0.1872 0.8147 0.6023
0.2876 0.1853 0.8726
0.2876 0.4150 0.1023
0.4150 0.2876 0.6023
0.4150 0.8128 0.1274
0.5850 0.1872 0.8726
0.5850 0.7124 0.3977
0.7124 0.5850 0.8977
0.7124 0.8147 0.1274
0.8128 0.1853 0.3977
0.8128 0.4150 0.6274
0.8147 0.1872 0.1023
0.8147 0.7124 0.6274
0.8750 0.1250 0.7500
0.0000 0.0000 0.0000
0.0000 0.0000 0.5000
0.0000 0.5000 0.0000
0.5000 0.0000 0.5000
```



3.
## Pa2HRu3 (PBE-GGA)

Data for Pa2HRu3 after structural relaxation.

## Properties
Electronic total energy in Ry per atom: -0.6193
Crystal system: trigonal
Density of states at the Fermi level in states/eV/f.u.: 6.23
SG: R-3m (166)

```
Pa2HRu3
1.0
2.7761 1.6028 3.6287
-2.7761 1.6028 3.6287
0.0000 -3.2056 3.6287
Pa H Ru
2 1 3
Direct
0.1316 0.1316 0.1316
0.8684 0.8684 0.8684
0.5000 0.5000 0.5000
0.0000 0.5000 0.5000
0.5000 0.0000 0.5000
0.5000 0.5000 0.0000
```



4.
## Pa4H6Ru7 (PBE-GGA)

Data for Pa4H6Ru7 after structural relaxation.

## Properties
Electronic total energy in Ry per atom: -0.5499
Crystal system: cubic
Density of states at the Fermi level in states/eV/f.u.: 10.99
SG: Im-3m (229)

```
Pa4H6Ru7
1.0
-3.8629 3.8629 3.8629
3.8629 -3.8629 3.8629
3.8629 3.8629 -3.8629
Pa H Ru
4 6 7
Direct
0.0000 0.0000 0.5000
0.0000 0.5000 0.0000
0.5000 0.0000 0.0000
0.5000 0.5000 0.5000
0.0000 0.2241 0.2241
0.0000 0.7759 0.7759
0.2241 0.0000 0.2241
0.2241 0.2241 0.0000
0.7759 0.0000 0.7759
0.7759 0.7759 0.0000
0.0000 0.0000 0.0000
0.2500 0.5000 0.7500
0.2500 0.7500 0.5000
0.5000 0.2500 0.7500
0.5000 0.7500 0.2500
0.7500 0.2500 0.5000
0.7500 0.5000 0.2500
```



5.
## PaH6Ru (PBE-GGA)

Data for PaH6Ru after structural relaxation.

## Properties
Electronic total energy in Ry per atom: -0.3762
Crystal system: trigonal
Density of states at the Fermi level in states/eV/f.u.: 2.71
SG: R-3m (166)

```
PaH6Ru
1.0
2.2048 1.2730 3.7379
-2.2048 1.2730 3.7379
0.0000 -2.5459 3.7379
Pa H Ru
1 6 1
Direct
0.0000 0.0000 0.0000
0.0444 0.6076 0.6076
0.3924 0.3924 0.9556
0.3924 0.9556 0.3924
0.6076 0.0444 0.6076
0.6076 0.6076 0.0444
0.9556 0.3924 0.3924
0.5000 0.5000 0.5000
```



6.
## PaH10Ru3 (PBE-GGA)

Data for PaH10Ru3 after structural relaxation.

## Properties
Electronic total energy in Ry per atom: -0.3738
Crystal system: cubic
Density of states at the Fermi level in states/eV/f.u.: 6.29
SG: Fm-3m (225)

```
PaH10Ru3
1.0
0.0000 4.6650 4.6650
4.6650 0.0000 4.6650
4.6650 4.6650 0.0000
Pa H Ru
2 20 6
Direct
0.2500 0.2500 0.2500
0.7500 0.7500 0.7500
0.0000 0.0000 0.3317
0.0000 0.0000 0.6683
0.0000 0.3317 0.0000
0.0000 0.3317 0.6683
0.0000 0.6683 0.0000
0.0000 0.6683 0.3317
0.1743 0.6086 0.6086
0.3317 0.0000 0.0000
0.3317 0.0000 0.6683
0.3317 0.6683 0.0000
0.3914 0.3914 0.3914
0.3914 0.3914 0.8257
0.3914 0.8257 0.3914
0.6086 0.1743 0.6086
0.6086 0.6086 0.1743
0.6086 0.6086 0.6086
0.6683 0.0000 0.0000
0.6683 0.0000 0.3317
0.6683 0.3317 0.0000
0.8257 0.3914 0.3914
0.2671 0.2671 0.7329
0.2671 0.7329 0.2671
0.2671 0.7329 0.7329
0.7329 0.2671 0.2671
0.7329 0.2671 0.7329
0.7329 0.7329 0.2671
```



7.
## Pa2HRu6 (PBE-GGA)

Data for Pa2HRu6 after structural relaxation.

## Properties
Electronic total energy in Ry per atom: -0.6657
Crystal system: cubic
Density of states at the Fermi level in states/eV/f.u.: 5.89
SG: Fm-3m (225)

```
Pa2HRu6
1.0
0.0000 4.0603 4.0603
4.0603 0.0000 4.0603
4.0603 4.0603 0.0000
Pa H Ru
2 1 6
Direct
0.2500 0.2500 0.2500
0.7500 0.7500 0.7500
0.0000 0.0000 0.0000
0.2516 0.2516 0.7484
0.2516 0.7484 0.2516
0.2516 0.7484 0.7484
0.7484 0.2516 0.2516
0.7484 0.2516 0.7484
0.7484 0.7484 0.2516
```



8.
## PaH8Ru2 (PBE-GGA)

Data for PaH8Ru2 after structural relaxation.

## Properties
Electronic total energy in Ry per atom: -0.3740
Crystal system: monoclinic
Density of states at the Fermi level in states/eV/f.u.: 3.42
SG: C2/m (12)

```
PaH8Ru2
1.0
2.6019 -4.2978 0.0000
2.6019 4.2978 0.0000
-0.1850 0.0000 3.6344
Pa H Ru
1 8 2
Direct
0.0000 0.0000 0.0000
0.0293 0.3090 0.5210
0.2973 0.7027 0.0000
0.3090 0.0293 0.5210
0.4335 0.4335 0.2429
0.5665 0.5665 0.7571
0.6910 0.9707 0.4790
0.7027 0.2973 0.0000
0.9707 0.6910 0.4790
0.3282 0.6718 0.5000
0.6718 0.3282 0.5000
```



9.
## PaSbHRu (PBE-GGA)

Data for PaSbHRu after structural relaxation.

## Properties
Electronic total energy in Ry per atom: -0.5201
Crystal system: trigonal
Density of states at the Fermi level in states/eV/f.u.: 2.97
SG: P3m1 (156)

```
PaSbHRu
1.0
4.5232 0.0000 0.0000
-2.2616 3.9172 0.0000
0.0000 0.0000 3.7951
Pa Sb H Ru
1 1 1 1
Direct
0.0000 0.0000 0.0000
0.3333 0.6667 0.5167
0.6667 0.3333 0.9486
0.6667 0.3333 0.4269
```



10.
## PaSnH6Ru2 (PBE-GGA)

Data for PaSnH6Ru2 after structural relaxation.

## Properties
Electronic total energy in Ry per atom: -0.3906
Crystal system: monoclinic
Density of states at the Fermi level in states/eV/f.u.: 4.45
SG: C2/c (15)

```
PaSnH6Ru2
1.0
3.6997 -4.8319 0.0000
3.6997 4.8319 0.0000
-1.9512 0.0000 5.6048
Pa Sn H Ru
2 2 12 4
Direct
0.1446 0.8554 0.7500
0.8554 0.1446 0.2500
0.3550 0.6450 0.2500
0.6450 0.3550 0.7500
0.0111 0.5658 0.3898
0.1743 0.1757 0.5739
0.1757 0.1743 0.0739
0.3219 0.5496 0.8478
0.4342 0.9889 0.1102
0.4504 0.6781 0.6522
0.5496 0.3219 0.3478
0.5658 0.0111 0.8898
0.6781 0.4504 0.1522
0.8243 0.8257 0.9261
0.8257 0.8243 0.4261
0.9889 0.4342 0.6102
0.0948 0.3183 0.8396
0.3183 0.0948 0.3396
0.6817 0.9052 0.6604
0.9052 0.6817 0.1604
```



11.
## Pa2Sn2HRu4 (PBE-GGA)

Data for Pa2Sn2HRu4 after structural relaxation.

## Properties
Electronic total energy in Ry per atom: -0.5724
Crystal system: tetragonal
Density of states at the Fermi level in states/eV/f.u.: 6.04
SG: I4/mmm (139)

```
Pa2Sn2HRu4
1.0
-3.1303 3.1303 3.8931
3.1303 -3.1303 3.8931
3.1303 3.1303 -3.8931
Pa Sn H Ru
2 2 1 4
Direct
0.2187 0.2187 0.0000
0.7813 0.7813 0.0000
0.2500 0.7500 0.5000
0.7500 0.2500 0.5000
0.5000 0.5000 0.0000
0.2542 0.2542 0.5085
0.2542 0.7458 0.0000
0.7458 0.2542 0.0000
0.7458 0.7458 0.4915
```



12.
## PaTaH6Ru2 (PBE-GGA)

Data for PaTaH6Ru2 after structural relaxation.

## Properties
Electronic total energy in Ry per atom: -0.4613
Crystal system: trigonal
Density of states at the Fermi level in states/eV/f.u.: 6.45
SG: R-3m (166)

```
PaTaH6Ru2
1.0
2.2767 1.3145 5.1522
-2.2767 1.3145 5.1522
0.0000 -2.6289 5.1522
Pa Ta H Ru
1 1 6 2
Direct
0.0000 0.0000 0.0000
0.5000 0.5000 0.5000
0.0932 0.5447 0.5447
0.4553 0.4553 0.9068
0.4553 0.9068 0.4553
0.5447 0.0932 0.5447
0.5447 0.5447 0.0932
0.9068 0.4553 0.4553
0.2099 0.2099 0.2099
0.7901 0.7901 0.7901
```



13.
## PaZnH6Ru (PBE-GGA)

Data for PaZnH6Ru after structural relaxation.

## Properties
Electronic total energy in Ry per atom: -0.3381
Crystal system: hexagonal
Density of states at the Fermi level in states/eV/f.u.: 3.99
SG: P-6m2 (187)

```
PaZnH6Ru
1.0
4.4598 0.0000 0.0000
-2.2299 3.8623 0.0000
0.0000 0.0000 4.3645
Pa Zn H Ru
1 1 6 1
Direct
0.0000 0.0000 0.0000
0.3333 0.6667 0.5000
0.5090 0.0179 0.2031
0.5090 0.0179 0.7969
0.5090 0.4910 0.2031
0.5090 0.4910 0.7969
0.9821 0.4910 0.2031
0.9821 0.4910 0.7969
0.6667 0.3333 0.5000
```



14.
## PaZnH8Ru2 (PBE-GGA)

Data for PaZnH8Ru2 after structural relaxation.

## Properties
Electronic total energy in Ry per atom: -0.3527
Crystal system: monoclinic
Density of states at the Fermi level in states/eV/f.u.: 3.63
SG: C2/m (12)

```
PaZnH8Ru2
1.0
3.9584 -2.1547 0.0000
3.9584 2.1547 0.0000
-2.5383 0.0000 5.6625
Pa Zn H Ru
1 1 8 2
Direct
0.0000 0.0000 0.0000
0.5000 0.5000 0.5000
0.0731 0.5584 0.1672
0.2207 0.2207 0.3818
0.4416 0.9269 0.8328
0.4472 0.4472 0.8320
0.5528 0.5528 0.1680
0.5584 0.0731 0.1672
0.7793 0.7793 0.6182
0.9269 0.4416 0.8328
0.2180 0.2180 0.6515
0.7820 0.7820 0.3485
```



15.
## Pa2HS3 (PBE-GGA)

Data for Pa2HS3 after structural relaxation.

## Properties
Electronic total energy in Ry per atom: -0.5346
Crystal system: orthorhombic
Density of states at the Fermi level in states/eV/f.u.: 6.80
SG: Pnma (62)

```
Pa2HS3
1.0
10.5897 0.0000 0.0000
0.0000 3.7965 0.0000
0.0000 0.0000 10.7384
Pa H S
8 4 12
Direct
0.0252 0.2500 0.1834
0.1947 0.2500 0.5158
0.3053 0.7500 0.0158
0.4748 0.7500 0.6834
0.5252 0.2500 0.3166
0.6947 0.2500 0.9842
0.8053 0.7500 0.4842
0.9748 0.7500 0.8166
0.1240 0.7500 0.1275
0.3760 0.2500 0.6275
0.6240 0.7500 0.3725
0.8760 0.2500 0.8725
0.0560 0.7500 0.3752
0.1246 0.2500 0.9413
0.2128 0.7500 0.7059
0.2872 0.2500 0.2059
0.3754 0.7500 0.4413
0.4440 0.2500 0.8752
0.5560 0.7500 0.1248
0.6246 0.2500 0.5587
0.7128 0.7500 0.7941
0.7872 0.2500 0.2941
0.8754 0.7500 0.0587
0.9440 0.2500 0.6248
```



16.
## Pa3HS6 (PBE-GGA)

Data for Pa3HS6 after structural relaxation.

## Properties
Electronic total energy in Ry per atom: -0.5156
Crystal system: orthorhombic
Density of states at the Fermi level in states/eV/f.u.: 12.96
SG: Cmc2_1 (36)

```
Pa3HS6
1.0
5.2683 -6.4136 0.0000
5.2683 6.4136 0.0000
0.0000 0.0000 6.5618
Pa H S
6 2 12
Direct
0.1004 0.8996 0.5000
0.2256 0.4289 0.6131
0.4289 0.2256 0.1131
0.5711 0.7744 0.6131
0.7744 0.5711 0.1131
0.8996 0.1004 0.0000
0.2415 0.7585 0.9909
0.7585 0.2415 0.4909
0.0540 0.5937 0.3436
0.1270 0.2032 0.3058
0.2032 0.1270 0.8058
0.2615 0.7385 0.7842
0.4063 0.9460 0.3436
0.4840 0.5160 0.3467
0.5160 0.4840 0.8467
0.5937 0.0540 0.8436
0.7385 0.2615 0.2842
0.7968 0.8730 0.3058
0.8730 0.7968 0.8058
0.9460 0.4063 0.8436
```



17.
## Pa2HS4 (PBE-GGA)

Data for Pa2HS4 after structural relaxation.

## Properties
Electronic total energy in Ry per atom: -0.4949
Crystal system: monoclinic
Density of states at the Fermi level in states/eV/f.u.: 7.42
SG: P2_1/m (11)

```
Pa2HS4
1.0
5.4217 0.0000 0.0000
0.0000 7.6294 0.0000
-2.3643 0.0000 6.9007
Pa H S
4 2 8
Direct
0.1007 0.2500 0.0215
0.1476 0.2500 0.5381
0.8524 0.7500 0.4619
0.8993 0.7500 0.9785
0.4377 0.7500 0.8023
0.5623 0.2500 0.1977
0.0089 0.0005 0.2554
0.0089 0.4995 0.2554
0.4278 0.7500 0.6050
0.4583 0.7500 0.1065
0.5417 0.2500 0.8935
0.5722 0.2500 0.3950
0.9911 0.5005 0.7446
0.9911 0.9995 0.7446
```



18.
## Pa2HS3 (PBE-GGA)

Data for Pa2HS3 after structural relaxation.

## Properties
Electronic total energy in Ry per atom: -0.5166
Crystal system: trigonal
Density of states at the Fermi level in states/eV/f.u.: 7.88
SG: R-3c (167)

```
Pa2HS3
1.0
3.6455 2.1048 5.4491
-3.6455 2.1048 5.4491
0.0000 -4.2095 5.4491
Pa H S
4 2 6
Direct
0.1341 0.1341 0.1341
0.3659 0.3659 0.3659
0.6341 0.6341 0.6341
0.8659 0.8659 0.8659
0.0000 0.0000 0.0000
0.5000 0.5000 0.5000
0.0345 0.7500 0.4655
0.2500 0.5345 0.9655
0.4655 0.0345 0.7500
0.5345 0.9655 0.2500
0.7500 0.4655 0.0345
0.9655 0.2500 0.5345
```



19.
## PaH2S2 (PBE-GGA)

Data for PaH2S2 after structural relaxation.

## Properties
Electronic total energy in Ry per atom: -0.4118
Crystal system: trigonal
Density of states at the Fermi level in states/eV/f.u.: 2.27
SG: R-3m (166)

```
PaH2S2
1.0
1.8747 1.0824 6.2164
-1.8747 1.0824 6.2164
0.0000 -2.1647 6.2164
Pa H S
1 2 2
Direct
0.0000 0.0000 0.0000
0.3068 0.3068 0.3068
0.6932 0.6932 0.6932
0.4303 0.4303 0.4303
0.5697 0.5697 0.5697
```



20.
## Pa4HS5 (PBE-GGA)

Data for Pa4HS5 after structural relaxation.

## Properties
Electronic total energy in Ry per atom: -0.5402
Crystal system: monoclinic
Density of states at the Fermi level in states/eV/f.u.: 12.41
SG: C2/m (12)

```
Pa4HS5
1.0
8.1853 -1.8617 0.0000
8.1853 1.8617 0.0000
-1.9877 0.0000 7.6088
Pa H S
4 1 5
Direct
0.0019 0.0019 0.2594
0.3424 0.3424 0.4117
0.6576 0.6576 0.5883
0.9981 0.9981 0.7406
0.5000 0.5000 0.5000
0.1671 0.1671 0.8378
0.1725 0.1725 0.3383
0.5000 0.5000 0.0000
0.8275 0.8275 0.6617
0.8329 0.8329 0.1622
```